Record 1
Material: Li5Ca3Zn2
Method: DFT, PBE
State: relaxed

The value obtained for the calculated volume is 24.5 A^3/atom. The formation energy comes out at -0.090 eV per atom.

The structure belongs to space group P4/mbm (No. 127); the cell edges are 10.577, 10.577 and 4.380 Å and the angles 90.00°, 90.00° and 90.00°. The inequivalent atoms are Li at (0.000, 0.500, 0.000), Li at (0.072, 0.231, 0.000), Ca at (0.000, 0.000, 0.500), Ca at (0.175, 0.675, 0.500) and Zn at (0.116, 0.384, 0.500).



Record 2
Material: YSbPdI2
Method: DFT, PBE
State: relaxed

The relative energy among the computed polymorphs comes out at 1.066 eV per formula unit. The value obtained for the calculated volume is 42.4 A^3/atom. The value obtained for the energy relative to the elements, uncorrected is 0.56 eV/f.u.

The structure belongs to space group P4/mmm (No. 123); the cell edges are 5.889, 5.889 and 6.108 Å and the angles 90.00°, 90.00° and 90.00°. The inequivalent atoms are Y at (0.000, 0.000, 0.000), Sb at (0.000, 0.000, 0.500), Pd at (0.500, 0.500, 0.500) and I at (0.000, 0.500, 0.000).



Record 3
Material: DyPa2Tc2
Method: DFT, PBE
State: relaxed

The value obtained for the calculated volume is 21.7 A^3/atom. The formation energy comes out at -0.150 eV per atom.

The structure belongs to space group P2_1/m (No. 11); the cell edges are 3.497, 5.317 and 11.802 Å and the angles 90.00°, 98.52° and 90.00°. The inequivalent atoms are Dy at (0.144, 0.250, 0.285), Pa at (0.050, 0.750, 0.100), Pa at (0.234, 0.750, 0.472), Tc at (0.356, 0.250, 0.713) and Tc at (0.462, 0.750, 0.926).



Record 4
Material: ErMgPd
Method: DFT, PBE
State: relaxed

The value obtained for the calculated volume is 21.4 A^3/atom. The formation energy comes out at -0.698 eV per atom.

The structure belongs to space group P-62m (No. 189); the cell edges are 7.4266, 7.4266 and 4.0311 Å and the angles 90.00°, 90.00° and 120.00°. The inequivalent atoms are Er at (0.0000, 0.4112, 0.0000), Mg at (0.0000, 0.7539, 0.5000), Pd at (0.0000, 0.0000, 0.0000) and Pd at (0.3333, 0.6667, 0.5000).



Record 5
Material: Pm2MnAl4Au3
Method: DFT, PBE
State: relaxed

The value obtained for the calculated volume is 20.1 A^3/atom. The formation energy comes out at -0.605 eV per atom.

The structure belongs to space group P-4m2 (No. 115); the cell edges are 4.304, 4.304 and 10.845 Å and the angles 90.00°, 90.00° and 90.00°. The inequivalent atoms are Pm at (0.000, 0.500, 0.246), Mn at (0.500, 0.500, 0.000), Al at (0.000, 0.000, 0.500), Al at (0.000, 0.500, 0.867), Al at (0.500, 0.500, 0.500), Au at (0.000, 0.000, 0.000) and Au at (0.000, 0.500, 0.634).



Record 6
Material: SrLaSe2Br
Method: DFT, PBE
State: relaxed

The relative energy among the computed polymorphs comes out at 2.352 eV per formula unit. The value obtained for the calculated volume is 35.4 A^3/atom. The value obtained for the energy relative to the elements, uncorrected is -5.57 eV/f.u.

The structure belongs to space group P4/mmm (No. 123); the cell edges are 5.702, 5.702 and 5.444 Å and the angles 90.00°, 90.00° and 90.00°. The inequivalent atoms are Sr at (0.000, 0.000, 0.000), La at (0.500, 0.500, 0.500), Se at (0.000, 0.500, 0.000) and Br at (0.000, 0.000, 0.500).